15
Lattice="-5.043 0.756 -6.267 -2.645 -3.140 6.959 1.731 7.981 -0.431" Properties=species:S:1:pos:R:3 comment="La3Sm3HoS8, relaxed, DFT PBE" magmom_total_mub_per_cell=0.0 dos_ef_per_ev_cell=7.38 formation_energy_uncorrected_ev_per_atom=-2.110 pbc="T T T"
La 0.000 0.000 0.000
La -1.323 -1.570 3.479
La -3.844 -1.192 0.346
Sm -1.656 4.368 -3.349
Sm -2.979 2.798 0.130
Sm -0.457 2.420 3.264
Ho 0.866 3.990 -0.215
S -2.168 0.675 1.826
S -3.790 4.922 -1.565
S -4.740 1.067 -1.265
S -1.218 4.530 1.526
S -3.386 2.674 -4.826
S -2.571 2.923 5.087
S -0.805 2.287 -1.619
S -5.152 3.310 1.880